Density functional theory data (PBE-GGA) for a relaxed structure of Sc2IrRu.

a = 4.5539 Å, b = 4.5539 Å, c = 4.5539 Å
α = 60.00°, β = 60.00°, γ = 60.00°
Fractional coordinates of all 4 atoms:
Sc (0.2500, 0.2500, 0.2500)
Ir (0.5000, 0.5000, 0.5000)
Ru (0.7500, 0.7500, 0.7500)
Sc (0.0000, 0.0000, 0.0000)

Results
Total magnetic moment in μB/atom: 0.05
Calculated formation energy in eV per atom: -0.29